VASP calculation (GGA+U) on Li3NiAsCO7 after structural relaxation.

Cell: 5.0673 6.5575 8.5336 Å, 90.00 95.08 90.00°
Last column: nearest neighbours and their distance in Å.
Space group P2_1/m (No. 11)
One atom of each set of equivalent atoms:
1 Li 0.2123 0.2500 0.0992 [2 per cell]  4 O 1.93-2.13
2 Li 0.2558 0.5157 0.7338 [4 per cell]  5 O 2.11-2.30
3 Ni 0.2075 0.7500 0.3219 [2 per cell]  6 O 2.02-2.22
4 As 0.2761 0.2500 0.4161 [2 per cell]  4 O 1.71-1.73
5 C 0.3174 0.7500 0.0355 [2 per cell]  3 O 1.30-1.31
6 O 0.0721 0.7500 0.0672 [2 per cell]  1 C 1.30
7 O 0.1632 0.0536 0.2935 [4 per cell]  1 As 1.72
8 O 0.1649 0.2500 0.5991 [2 per cell]  1 As 1.71
9 O 0.3811 0.7500 0.5570 [2 per cell]  1 As 1.73
10 O 0.3843 0.7500 0.8922 [2 per cell]  1 C 1.30
11 O 0.4992 0.7500 0.1540 [2 per cell]  1 C 1.31

## Properties
Electronic total energy, eV per atom: -6.018
Volume, Å³/atom: 10.86
Total moment, μB/atom: 0.154